Entry from Alexandria: a crystal of TlCoRh2 relaxed with PBEsol (meta-GGA SCAN).

Cell: 4.7315 4.7315 4.7315 Å, 131.55 131.55 70.94°
Positions (direct):
Tl 0.0000 0.0000 0.0000
Co 0.2500 0.7500 0.5000
Rh 0.5000 0.5000 0.0000
Rh 0.7500 0.2500 0.5000

Results
M_tot in μB per atom: 0.749
VASP energy in eV/cell: -156.17